Material: Ba6Sb2SI3
Method: DFT, PBE-GGA
State: relaxed

Computed properties:
- energy (eV per atom) = -3.89
- volume (Å³/cell) = 526
- space group = No. 12

Unit cell a=8.543 b=8.543 c=8.791 alpha=99.33 beta=99.33 gamma=120.00
Positions (direct):
Ba 0.071 0.392 0.214
Ba 0.248 0.248 0.785
Ba 0.392 0.071 0.214
Ba 0.608 0.929 0.786
Ba 0.752 0.752 0.215
Ba 0.929 0.608 0.786
Sb 0.334 0.666 0.000
Sb 0.666 0.334 0.000
S 0.000 0.000 0.000
I 0.170 0.830 0.500
I 0.500 0.500 0.500
I 0.830 0.170 0.500

Material: Ba4SeSI2
Method: DFT, PBE-GGA
State: relaxed

Computed properties:
- energy (eV per atom) = -4.02
- volume (Å³/cell) = 314
- space group = No. 10

Unit cell a=8.140 b=4.698 c=8.649 alpha=90.00 beta=108.25 gamma=90.00
Positions (direct):
Ba 0.228 0.000 0.206
Ba 0.256 0.500 0.790
Ba 0.744 0.500 0.210
Ba 0.772 0.000 0.794
Se 0.500 0.000 0.000
S 0.000 0.500 0.000
I 0.000 0.000 0.500
I 0.500 0.500 0.500

Material: Ba6Se2SI3
Method: DFT, PBE-GGA
State: relaxed

Computed properties:
- energy (eV per atom) = -3.99
- volume (Å³/cell) = 475
- space group = No. 12

Unit cell a=8.178 b=8.178 c=8.640 alpha=99.08 beta=99.08 gamma=119.98
Positions (direct):
Ba 0.070 0.396 0.209
Ba 0.256 0.256 0.789
Ba 0.396 0.070 0.209
Ba 0.604 0.930 0.791
Ba 0.744 0.744 0.211
Ba 0.930 0.604 0.791
Se 0.334 0.666 0.000
Se 0.666 0.334 0.000
S 0.000 0.000 0.000
I 0.169 0.831 0.500
I 0.500 0.500 0.500
I 0.831 0.169 0.500

Material: Ba2SeSI
Method: DFT, PBE-GGA
State: relaxed

Computed properties:
- energy (eV per atom) = -3.35
- volume (Å³/cell) = 218
- space group = No. 123

Unit cell a=6.464 b=6.464 c=5.209 alpha=90.00 beta=90.00 gamma=90.00
Positions (direct):
Ba 0.000 0.500 0.000
Ba 0.500 0.000 0.000
Se 0.000 0.000 0.500
S 0.500 0.500 0.500
I 0.500 0.500 0.000

Material: Ba4Se2SI
Method: DFT, PBE-GGA
State: relaxed

Computed properties:
- energy (eV per atom) = -4.41
- volume (Å³/cell) = 602
- space group = No. 74

Unit cell a=9.478 b=9.478 c=9.478 alpha=120.24 beta=119.79 gamma=89.97
Positions (direct):
Ba 0.259 0.253 0.494
Ba 0.259 0.765 0.006
Ba 0.266 0.247 0.019
Ba 0.273 0.753 0.519
Ba 0.727 0.247 0.481
Ba 0.734 0.753 0.981
Ba 0.741 0.235 0.994
Ba 0.741 0.747 0.506
Se 0.000 0.500 0.500
Se 0.500 0.000 0.000
Se 0.500 0.500 0.000
Se 0.500 0.500 0.500
S 0.000 0.000 0.000
S 0.500 0.000 0.500
I 0.000 0.000 0.500
I 0.000 0.500 0.000

Material: Ba4SeS2I
Method: DFT, PBE-GGA
State: relaxed

Computed properties:
- energy (eV per atom) = -4.51
- volume (Å³/cell) = 585
- space group = No. 74

Unit cell a=9.385 b=9.385 c=9.385 alpha=120.47 beta=119.52 gamma=90.01
Positions (direct):
Ba 0.262 0.256 0.494
Ba 0.262 0.768 0.006
Ba 0.272 0.247 0.025
Ba 0.279 0.753 0.525
Ba 0.721 0.247 0.475
Ba 0.728 0.753 0.975
Ba 0.738 0.232 0.994
Ba 0.738 0.744 0.506
Se 0.000 0.500 0.500
Se 0.500 0.500 0.000
S 0.000 0.000 0.000
S 0.500 0.000 0.000
S 0.500 0.000 0.500
S 0.500 0.500 0.500
I 0.000 0.000 0.500
I 0.000 0.500 0.000

Material: Ba6Se3S2I
Method: DFT, PBE-GGA
State: relaxed

Computed properties:
- energy (eV per atom) = -4.58
- volume (Å³/cell) = 442
- space group = No. 12

Unit cell a=10.485 b=10.485 c=9.454 alpha=102.48 beta=102.48 gamma=25.88
Positions (direct):
Ba 0.004 0.004 0.273
Ba 0.324 0.324 0.903
Ba 0.331 0.331 0.421
Ba 0.669 0.669 0.579
Ba 0.676 0.676 0.097
Ba 0.996 0.996 0.727
Se 0.162 0.162 0.834
Se 0.500 0.500 0.500
Se 0.838 0.838 0.166
S 0.167 0.167 0.334
S 0.833 0.833 0.666
I 0.500 0.500 0.000

Material: Ba8Se3SI4
Method: DFT, PBE-GGA
State: relaxed

Computed properties:
- energy (eV per atom) = -3.97
- volume (Å³/cell) = 637
- space group = No. 166

Unit cell a=9.867 b=9.867 c=9.867 alpha=57.27 beta=57.27 gamma=57.27
Positions (direct):
Ba 0.238 0.238 0.238
Ba 0.244 0.733 0.733
Ba 0.267 0.267 0.756
Ba 0.267 0.756 0.267
Ba 0.733 0.244 0.733
Ba 0.733 0.733 0.244
Ba 0.756 0.267 0.267
Ba 0.762 0.762 0.762
Se 0.000 0.000 0.500
Se 0.000 0.500 0.000
Se 0.500 0.000 0.000
S 0.500 0.500 0.500
I 0.000 0.000 0.000
I 0.000 0.500 0.500
I 0.500 0.000 0.500
I 0.500 0.500 0.000

Number 1: raw formation energy -1.507 eV per atom. Number 2: raw formation energy -1.717 eV per atom. Number 3: raw formation energy -1.714 eV per atom. Number 4: raw formation energy -0.748 eV per atom. Number 5: raw formation energy -1.865 eV per atom. Number 6: raw formation energy -1.884 eV per atom. Number 7: raw formation energy -1.934 eV per atom. Number 8: raw formation energy -1.714 eV per atom.